# PBE GeOsBr3, relaxed
# VASP energy: -3.09 eV/atom
# M_tot: 4.943 μB/f.u.
# Uncorrected formation energy: 1.084 eV/atom
# N(E_F): 14.1 states/eV/cell
data_GeOsBr3
_chemical_formula_sum 'Ge1 Os1 Br3'
_cell_length_a 5.405
_cell_length_b 5.405
_cell_length_c 5.405
_cell_angle_alpha 90.00
_cell_angle_beta 90.00
_cell_angle_gamma 90.00
_symmetry_space_group_name_H-M 'P m -3 m'
_symmetry_Int_Tables_number 221
_symmetry_space_group_name_Hall '-P 4 2 3'
loop_
_atom_site_label
_atom_site_type_symbol
_atom_site_fract_x
_atom_site_fract_y
_atom_site_fract_z
_atom_site_occupancy
Ge1 Ge 0.000 0.000 0.000 1
Os1 Os 0.500 0.500 0.500 1
Br1 Br 0.000 0.000 0.500 1

***

# PBE V4CrW, relaxed
# VASP energy: -9.68 eV/atom
# M_tot: 0.000 μB/f.u.
# DFT formation energy: 0.1656 eV per atom
# N(E_F): 13.3 states/eV/cell
data_V4CrW
_chemical_formula_sum 'V8 Cr2 W2'
_cell_length_a 5.794
_cell_length_b 4.221
_cell_length_c 6.774
_cell_angle_alpha 90.00
_cell_angle_beta 90.00
_cell_angle_gamma 90.00
_symmetry_space_group_name_H-M 'P m m a'
_symmetry_Int_Tables_number 51
_symmetry_space_group_name_Hall '-P 2a 2a'
loop_
_atom_site_label
_atom_site_type_symbol
_atom_site_fract_x
_atom_site_fract_y
_atom_site_fract_z
_atom_site_occupancy
V1 V 0.000 0.000 0.000 1
V2 V 0.015 0.500 0.319 1
V3 V 0.250 0.500 0.987 1
Cr1 Cr 0.250 0.000 0.271 1
W1 W 0.250 0.000 0.639 1

***

# PBE La2CuCl4, relaxed
# VASP energy: -4.20 eV/atom
# M_tot: 0.000 μB/f.u.
# Uncorrected formation energy: -1.151 eV/atom
# N(E_F): 10.0 states/eV/cell
data_La2CuCl4
_chemical_formula_sum 'La4 Cu2 Cl8'
_cell_length_a 4.579
_cell_length_b 4.579
_cell_length_c 16.309
_cell_angle_alpha 90.00
_cell_angle_beta 90.00
_cell_angle_gamma 90.00
_symmetry_space_group_name_H-M 'I 4/m m m'
_symmetry_Int_Tables_number 139
_symmetry_space_group_name_Hall '-I 4 2'
loop_
_atom_site_label
_atom_site_type_symbol
_atom_site_fract_x
_atom_site_fract_y
_atom_site_fract_z
_atom_site_occupancy
La1 La 0.000 0.000 0.163 1
Cu1 Cu 0.000 0.000 0.500 1
Cl1 Cl 0.000 0.000 0.337 1
Cl2 Cl 0.000 0.500 0.000 1

***

# PBE CsNbGa3, relaxed
# VASP energy: -1.89 eV/atom
# M_tot: 0.000 μB/f.u.
# DFT formation energy: 2.1081 eV per atom
# N(E_F): 10.1 states/eV/cell
data_CsNbGa3
_chemical_formula_sum 'Cs1 Nb1 Ga3'
_cell_length_a 5.527
_cell_length_b 5.527
_cell_length_c 5.527
_cell_angle_alpha 90.00
_cell_angle_beta 90.00
_cell_angle_gamma 90.00
_symmetry_space_group_name_H-M 'P m -3 m'
_symmetry_Int_Tables_number 221
_symmetry_space_group_name_Hall '-P 4 2 3'
loop_
_atom_site_label
_atom_site_type_symbol
_atom_site_fract_x
_atom_site_fract_y
_atom_site_fract_z
_atom_site_occupancy
Cs1 Cs 0.000 0.000 0.000 1
Nb1 Nb 0.500 0.500 0.500 1
Ga1 Ga 0.000 0.000 0.500 1

***

# PBE Pr2Nd3PuSe6, relaxed
# VASP energy: -6.73 eV/atom
# M_tot: 5.916 μB/f.u.
# Uncorrected formation energy: -1.801 eV/atom
# N(E_F): 22.2 states/eV/cell
data_Pr2Nd3PuSe6
_chemical_formula_sum 'Pr4 Nd6 Pu2 Se12'
_cell_length_a 18.436
_cell_length_b 4.209
_cell_length_c 8.498
_cell_angle_alpha 90.00
_cell_angle_beta 103.35
_cell_angle_gamma 90.00
_symmetry_space_group_name_H-M 'C 1 2/m 1'
_symmetry_Int_Tables_number 12
_symmetry_space_group_name_Hall '-C 2y'
loop_
_atom_site_label
_atom_site_type_symbol
_atom_site_fract_x
_atom_site_fract_y
_atom_site_fract_z
_atom_site_occupancy
Pr1 Pr 0.165 0.000 0.331 1
Nd1 Nd 0.000 0.500 0.500 1
Nd2 Nd 0.168 0.000 0.835 1
Pu1 Pu 0.000 0.500 0.000 1
Se1 Se 0.002 0.000 0.756 1
Se2 Se 0.164 0.500 0.080 1
Se3 Se 0.166 0.500 0.585 1

***

# PBE ScNbPd, relaxed
# VASP energy: -7.63 eV/atom
# M_tot: 0.000 μB/f.u.
# DFT formation energy: -0.4277 eV per atom
# N(E_F): 11.4 states/eV/cell
data_ScNbPd
_chemical_formula_sum 'Sc4 Nb4 Pd4'
_cell_length_a 3.213
_cell_length_b 4.439
_cell_length_c 15.829
_cell_angle_alpha 90.00
_cell_angle_beta 90.00
_cell_angle_gamma 90.00
_symmetry_space_group_name_H-M 'I m m m'
_symmetry_Int_Tables_number 71
_symmetry_space_group_name_Hall '-I 2 2'
loop_
_atom_site_label
_atom_site_type_symbol
_atom_site_fract_x
_atom_site_fract_y
_atom_site_fract_z
_atom_site_occupancy
Sc1 Sc 0.000 0.000 0.178 1
Nb1 Nb 0.000 0.500 0.000 1
Nb2 Nb 0.000 0.500 0.500 1
Pd1 Pd 0.000 0.000 0.357 1

***

Q: Which of these has the lowest VASP energy?
A: V4CrW